The following is a PBE-GGA calculation of an optimized crystal structure of Pm6Pr3Er2In, from Alexandria.

## Properties
Electronic total energy, eV for the cell shown: -55.06
Formation energy, eV per atom: -0.029
Space group: C2/m, No. 12

extended XYZ file:
```
12
Lattice="-0.449 -5.330 -3.286 3.418 0.188 5.262 -10.400 -1.275 5.527" Properties=species:S:1:pos:R:3 pbc="T T T"
Er 0.843 -3.486 -0.430
Er 2.126 -1.656 2.406
In 0.000 0.000 0.000
Pm -2.415 -2.450 0.414
Pm -1.154 -0.651 3.202
Pm -6.277 -5.766 4.301
Pm -0.290 -4.184 2.832
Pm -7.141 -2.233 4.671
Pm -5.016 -3.967 7.089
Pr -3.715 -3.208 3.751
Pr -2.436 -1.383 6.579
Pr -4.995 -5.034 0.923
```